First-principles (GGA-PBE) data for an optimized crystal structure of Sr2In2Sb3, as listed in Alexandria via LeMat-Bulk.

The structure belongs to space group C2/m (No. 12); the cell edges are 16.897, 4.727 and 7.475 Å and the angles 90.00°, 111.72° and 90.00°. The inequivalent atoms are Sr at (0.135, 0.000, 0.234), In at (0.150, 0.500, 0.876), Sb at (0.000, 0.500, 0.000) and Sb at (0.201, 0.000, 0.717).

As for the formation energy from raw total energies: -0.49 eV/atom. As for the calculated volume: 39.621 Å³ per atom. As for the crystal system: monoclinic. The value obtained for the density of states at the Fermi level is 0.37 states/eV per atom. For the final energy, the calculation gives -24.6 eV per formula unit. The calculation puts the total magnetization at 0.000 μB per atom.

First-principles (GGA-PBE) data for an optimized crystal structure of Sr2InSb, as listed in Alexandria via LeMat-Bulk.

The structure belongs to space group I-4m2 (No. 119); the cell edges are 4.808, 4.808 and 11.834 Å and the angles 90.00°, 90.00° and 90.00°. The inequivalent atoms are Sr at (0.000, 0.000, 0.000), Sr at (0.000, 0.500, 0.250), In at (0.000, 0.500, 0.750) and Sb at (0.000, 0.000, 0.500).

As for the formation energy from raw total energies: -0.54 eV/atom. As for the calculated volume: 34.198 Å³ per atom. As for the crystal system: tetragonal. The value obtained for the density of states at the Fermi level is 0.71 states/eV per atom. For the final energy, the calculation gives -12.4 eV per formula unit. The calculation puts the total magnetization at 0.000 μB per atom.

First-principles (GGA-PBE) data for an optimized crystal structure of Sr2InSb, as listed in Alexandria via LeMat-Bulk.

The structure belongs to space group F-43m (No. 216); the cell edges are 8.195, 8.195 and 8.195 Å and the angles 90.00°, 90.00° and 90.00°. The inequivalent atoms are Sr at (0.000, 0.000, 0.000), Sr at (0.250, 0.250, 0.250), In at (0.000, 0.000, 0.500) and Sb at (0.250, 0.250, 0.750).

As for the formation energy from raw total energies: -0.26 eV/atom. As for the calculated volume: 34.401 Å³ per atom. As for the crystal system: cubic. The value obtained for the density of states at the Fermi level is 0.63 states/eV per atom. For the final energy, the calculation gives -11.3 eV per formula unit. The calculation puts the total magnetization at 0.000 μB per atom.